# GGA-PBE Pm2Nd2SmHo4, relaxed
data_Pm2Nd2SmHo4
_cell_length_a 18.8364
_cell_length_b 3.6317
_cell_length_c 9.6506
_cell_angle_alpha 90.00
_cell_angle_beta 115.77
_cell_angle_gamma 90.00
_symmetry_space_group_name_H-M 'C 1 2/m 1'
_symmetry_Int_Tables_number 12
loop_
_symmetry_equiv_pos_as_xyz
'x,y,z'
'-x,-y,-z'
'-x,y,-z'
'x,-y,z'
'x+1/2,y+1/2,z'
'-x+1/2,-y+1/2,-z'
'-x+1/2,y+1/2,-z'
'x+1/2,-y+1/2,z'
loop_
_atom_site_label
_atom_site_type_symbol
_atom_site_fract_x
_atom_site_fract_y
_atom_site_fract_z
Pm1 Pm 0.1471 0.0000 0.1628
Nd1 Nd 0.1659 0.5000 0.5022
Sm1 Sm 0.0000 0.0000 0.5000
Ho1 Ho 0.0195 0.5000 0.8333
Ho2 Ho 0.1850 0.0000 0.8365
# - raw total energy (eV/cell) = -84.11
# - crystal system = monoclinic
# - energy of formation from the pure elements (eV per formula unit) = 0.0

# GGA-PBE BeAlOs2, relaxed
data_BeAlOs2
_cell_length_a 2.9276
_cell_length_b 2.9276
_cell_length_c 5.8827
_cell_angle_alpha 90.00
_cell_angle_beta 90.00
_cell_angle_gamma 90.00
_symmetry_space_group_name_H-M 'P 4 m m'
_symmetry_Int_Tables_number 99
loop_
_symmetry_equiv_pos_as_xyz
'x,y,z'
'-y,x,z'
'-x,-y,z'
'y,-x,z'
'-x,y,z'
'y,x,z'
'x,-y,z'
'-y,-x,z'
loop_
_atom_site_label
_atom_site_type_symbol
_atom_site_fract_x
_atom_site_fract_y
_atom_site_fract_z
Be1 Be 0.0000 0.0000 0.0000
Al1 Al 0.5000 0.5000 0.7600
Os1 Os 0.0000 0.0000 0.4993
Os2 Os 0.5000 0.5000 0.1987
# - raw total energy (eV/cell) = -30.86
# - crystal system = tetragonal
# - energy of formation from the pure elements (eV per formula unit) = -0.9

# GGA-PBE BeFeRe2, relaxed
data_BeFeRe2
_cell_length_a 3.1493
_cell_length_b 3.9785
_cell_length_c 4.0958
_cell_angle_alpha 90.00
_cell_angle_beta 90.00
_cell_angle_gamma 90.00
_symmetry_space_group_name_H-M 'P m m m'
_symmetry_Int_Tables_number 47
loop_
_symmetry_equiv_pos_as_xyz
'x,y,z'
'-x,-y,-z'
'-x,-y,z'
'x,y,-z'
'x,-y,-z'
'-x,y,z'
'-x,y,-z'
'x,-y,z'
loop_
_atom_site_label
_atom_site_type_symbol
_atom_site_fract_x
_atom_site_fract_y
_atom_site_fract_z
Be1 Be 0.0000 0.0000 0.0000
Fe1 Fe 0.5000 0.0000 0.5000
Re1 Re 0.0000 0.5000 0.5000
Re2 Re 0.5000 0.5000 0.0000
# - raw total energy (eV/cell) = -36.46
# - crystal system = orthorhombic
# - energy of formation from the pure elements (eV per formula unit) = 0.6

# GGA-PBE MnNb2H, relaxed
data_MnNb2H
_cell_length_a 2.8745
_cell_length_b 2.8745
_cell_length_c 22.0171
_cell_angle_alpha 90.00
_cell_angle_beta 90.00
_cell_angle_gamma 120.00
_symmetry_space_group_name_H-M 'R -3 m'
_symmetry_Int_Tables_number 166
_symmetry_space_group_name_Hall '-R 3 2"'
loop_
_atom_site_label
_atom_site_type_symbol
_atom_site_fract_x
_atom_site_fract_y
_atom_site_fract_z
Mn1 Mn 0.0000 0.0000 0.0000
Nb1 Nb 0.0000 0.0000 0.1039
H1 H 0.0000 0.0000 0.5000
# - raw total energy (eV/cell) = -92.96
# - crystal system = trigonal
# - relative energy among the computed polymorphs (meV/atom) = 238

# GGA-PBE Mo2AsBr, relaxed
data_Mo2AsBr
_cell_length_a 3.0462
_cell_length_b 5.5767
_cell_length_c 8.4843
_cell_angle_alpha 90.00
_cell_angle_beta 90.00
_cell_angle_gamma 90.00
_symmetry_space_group_name_H-M 'I m m m'
_symmetry_Int_Tables_number 71
_symmetry_space_group_name_Hall '-I 2 2'
loop_
_atom_site_label
_atom_site_type_symbol
_atom_site_fract_x
_atom_site_fract_y
_atom_site_fract_z
Mo1 Mo 0.0000 0.0000 0.2348
As1 As 0.0000 0.5000 0.5000
Br1 Br 0.0000 0.5000 0.0000
# - uncorrected formation energy (meV/atom) = 776
# - raw total energy (eV/cell) = -49.77
# - crystal system = orthorhombic
# - relative energy among the computed polymorphs (meV/atom) = 642

# GGA-PBE Y2TaAu, relaxed
data_Y2TaAu
_cell_length_a 3.3560
_cell_length_b 3.3560
_cell_length_c 8.3639
_cell_angle_alpha 90.00
_cell_angle_beta 90.00
_cell_angle_gamma 90.00
_symmetry_space_group_name_H-M 'P 4/m m m'
_symmetry_Int_Tables_number 123
_symmetry_space_group_name_Hall '-P 4 2'
loop_
_atom_site_label
_atom_site_type_symbol
_atom_site_fract_x
_atom_site_fract_y
_atom_site_fract_z
Y1 Y 0.0000 0.0000 0.2398
Ta1 Ta 0.5000 0.5000 0.5000
Au1 Au 0.5000 0.5000 0.0000
# - raw total energy (eV/cell) = -28.71
# - crystal system = tetragonal
# - relative energy among the computed polymorphs (meV/atom) = 0
# - energy of formation from the pure elements (eV per formula unit) = -0.7

# GGA-PBE PC, relaxed
data_PC
_cell_length_a 4.2984
_cell_length_b 4.2984
_cell_length_c 4.2984
_cell_angle_alpha 90.00
_cell_angle_beta 90.00
_cell_angle_gamma 90.00
_symmetry_space_group_name_H-M 'F -4 3 m'
_symmetry_Int_Tables_number 216
_symmetry_space_group_name_Hall 'F -4 2 3'
loop_
_atom_site_label
_atom_site_type_symbol
_atom_site_fract_x
_atom_site_fract_y
_atom_site_fract_z
P1 P 0.0000 0.0000 0.0000
C1 C 0.2500 0.2500 0.2500
# - raw total energy (eV/cell) = -50.58
# - crystal system = cubic
# - relative energy among the computed polymorphs (meV/atom) = 682
# - energy of formation from the pure elements (eV per formula unit) = 2.0

# GGA-PBE DyTi5, relaxed
data_DyTi5
_cell_length_a 4.1636
_cell_length_b 13.1921
_cell_length_c 4.2020
_cell_angle_alpha 90.00
_cell_angle_beta 90.00
_cell_angle_gamma 90.00
_symmetry_space_group_name_H-M 'C m m m'
_symmetry_Int_Tables_number 65
_symmetry_space_group_name_Hall '-C 2 2'
loop_
_atom_site_label
_atom_site_type_symbol
_atom_site_fract_x
_atom_site_fract_y
_atom_site_fract_z
Dy1 Dy 0.0000 0.0000 0.0000
Ti1 Ti 0.0000 0.1754 0.5000
Ti2 Ti 0.0000 0.3217 0.0000
Ti3 Ti 0.0000 0.5000 0.5000
# - raw total energy (eV/cell) = -85.86
# - crystal system = orthorhombic
# - energy of formation from the pure elements (eV per formula unit) = 1.1